# GeHRu

Crystalline GeHRu at its relaxed geometry (PBE, Alexandria via LeMat-Bulk).

Cell: 4.639 8.342 6.653 Å, 74.63 69.60 73.86°
Fractional coordinates of all 18 atoms:
Ge 0.011 0.462 0.684
Ge 0.432 0.226 0.987
Ge 0.986 0.090 0.532
Ge 0.354 0.726 0.487
Ge 0.843 0.962 0.184
Ge 0.391 0.590 0.032
H 0.664 0.859 0.815
H 0.286 0.934 0.861
H 0.776 0.749 0.590
H 0.885 0.249 0.090
H 0.662 0.359 0.315
H 0.919 0.434 0.361
Ru 0.916 0.461 0.067
Ru 0.556 0.961 0.567
Ru 0.043 0.159 0.858
Ru 0.041 0.810 0.855
Ru 0.939 0.659 0.358
Ru 0.294 0.310 0.355

- theoretical density (g/cm3) = 7.644
- DFT total energy (hartree per atom) = -0.2091
- total magnetization (μB/atom) = 0.00
- crystal system = monoclinic
- D(E_F) (states/eV per atom) = 0.2721
- V (Å³ per cell) = 228
- space group = Cc, No. 9